#P
# GGA-PBE Li3BeRu, relaxed
data_Li3BeRu
_chemical_formula_sum 'Li3 Be1 Ru1'
_symmetry_space_group_name_H-M 'P m -3 m'
_symmetry_Int_Tables_number 221
_symmetry_space_group_name_Hall '-P 4 2 3'
_cell_length_a 4.1291
_cell_length_b 4.1291
_cell_length_c 4.1291
_cell_angle_alpha 90.00
_cell_angle_beta 90.00
_cell_angle_gamma 90.00
loop_
_atom_site_label
_atom_site_fract_x
_atom_site_fract_y
_atom_site_fract_z
_atom_site_occupancy
Li1 0.0000 0.0000 0.5000 1
Be1 0.0000 0.0000 0.0000 1
Ru1 0.5000 0.5000 0.5000 1
# V (Å³/atom): 14.08
# Spin magnetization (μB per formula unit): 1.096



#Q
# GGA-PBE Li3BeRu, relaxed
data_Li3BeRu
_chemical_formula_sum 'Li3 Be1 Ru1'
_symmetry_space_group_name_H-M 'P m -3 m'
_symmetry_Int_Tables_number 221
_symmetry_space_group_name_Hall '-P 4 2 3'
_cell_length_a 4.5664
_cell_length_b 4.5664
_cell_length_c 4.5664
_cell_angle_alpha 90.00
_cell_angle_beta 90.00
_cell_angle_gamma 90.00
loop_
_atom_site_label
_atom_site_fract_x
_atom_site_fract_y
_atom_site_fract_z
_atom_site_occupancy
Li1 0.0000 0.0000 0.5000 1
Be1 0.5000 0.5000 0.5000 1
Ru1 0.0000 0.0000 0.0000 1
# V (Å³/atom): 19.04
# Spin magnetization (μB per formula unit): 0.873



Here is how they stack up, most stable first: #P, #Q.



#P
# GGA-PBE Li2BeSb2, relaxed
data_Li2BeSb2
_chemical_formula_sum 'Li4 Be2 Sb4'
_symmetry_space_group_name_H-M 'P 4/m b m'
_symmetry_Int_Tables_number 127
_symmetry_space_group_name_Hall '-P 4 2ab'
_cell_length_a 7.8498
_cell_length_b 7.8498
_cell_length_c 3.1452
_cell_angle_alpha 90.00
_cell_angle_beta 90.00
_cell_angle_gamma 90.00
loop_
_atom_site_label
_atom_site_fract_x
_atom_site_fract_y
_atom_site_fract_z
_atom_site_occupancy
Li1 0.1130 0.3870 0.0000 1
Be1 0.0000 0.0000 0.0000 1
Sb1 0.1898 0.6898 0.5000 1
# V (Å³/atom): 19.38
# Spin magnetization (μB per formula unit): 0.000



#Q
# GGA-PBE Li2BeSb2, relaxed
data_Li2BeSb2
_chemical_formula_sum 'Li4 Be2 Sb4'
_symmetry_space_group_name_H-M 'I 4/m m m'
_symmetry_Int_Tables_number 139
_symmetry_space_group_name_Hall '-I 4 2'
_cell_length_a 4.2491
_cell_length_b 4.2491
_cell_length_c 13.4499
_cell_angle_alpha 90.00
_cell_angle_beta 90.00
_cell_angle_gamma 90.00
loop_
_atom_site_label
_atom_site_fract_x
_atom_site_fract_y
_atom_site_fract_z
_atom_site_occupancy
Li1 0.0000 0.0000 0.1003 1
Be1 0.0000 0.0000 0.5000 1
Sb1 0.0000 0.5000 0.2500 1
# V (Å³/atom): 24.28
# Spin magnetization (μB per formula unit): 0.000



#R
# GGA-PBE Li2BeSb2, relaxed
data_Li2BeSb2
_chemical_formula_sum 'Li4 Be2 Sb4'
_symmetry_space_group_name_H-M 'P 4/m b m'
_symmetry_Int_Tables_number 127
_symmetry_space_group_name_Hall '-P 4 2ab'
_cell_length_a 6.7902
_cell_length_b 6.7902
_cell_length_c 4.5916
_cell_angle_alpha 90.00
_cell_angle_beta 90.00
_cell_angle_gamma 90.00
loop_
_atom_site_label
_atom_site_fract_x
_atom_site_fract_y
_atom_site_fract_z
_atom_site_occupancy
Li1 0.1619 0.3381 0.0000 1
Be1 0.0000 0.0000 0.5000 1
Sb1 0.1531 0.6531 0.5000 1
# V (Å³/atom): 21.17
# Spin magnetization (μB per formula unit): 0.000



Here is how they stack up, most stable first: #R, #P, #Q.



#P
# GGA-PBE LiBeSbTe2, relaxed
data_LiBeSbTe2
_chemical_formula_sum 'Li1 Be1 Sb1 Te2'
_symmetry_space_group_name_H-M 'P 4/m m m'
_symmetry_Int_Tables_number 123
_symmetry_space_group_name_Hall '-P 4 2'
_cell_length_a 5.1834
_cell_length_b 5.1834
_cell_length_c 4.7531
_cell_angle_alpha 90.00
_cell_angle_beta 90.00
_cell_angle_gamma 90.00
loop_
_atom_site_label
_atom_site_fract_x
_atom_site_fract_y
_atom_site_fract_z
_atom_site_occupancy
Li1 0.0000 0.0000 0.0000 1
Be1 0.5000 0.5000 0.5000 1
Sb1 0.0000 0.0000 0.5000 1
Te1 0.0000 0.5000 0.0000 1
# V (Å³/atom): 25.54
# Spin magnetization (μB per formula unit): 0.000



#Q
# GGA-PBE LiBeSbTe2, relaxed
data_LiBeSbTe2
_chemical_formula_sum 'Li1 Be1 Sb1 Te2'
_symmetry_space_group_name_H-M 'P 4/m m m'
_symmetry_Int_Tables_number 123
_symmetry_space_group_name_Hall '-P 4 2'
_cell_length_a 5.3493
_cell_length_b 5.3493
_cell_length_c 4.6428
_cell_angle_alpha 90.00
_cell_angle_beta 90.00
_cell_angle_gamma 90.00
loop_
_atom_site_label
_atom_site_fract_x
_atom_site_fract_y
_atom_site_fract_z
_atom_site_occupancy
Li1 0.0000 0.0000 0.0000 1
Be1 0.5000 0.5000 0.5000 1
Sb1 0.5000 0.5000 0.0000 1
Te1 0.0000 0.5000 0.5000 1
# V (Å³/atom): 26.57
# Spin magnetization (μB per formula unit): 0.000



Here is how they stack up, most stable first: #Q, #P.